No. 1
Computed, not measured: a relaxed Cs8K4Hg crystal at the PBE level of DFT.

The structure in extended XYZ format:
```
13
Lattice="7.4783 0.0000 0.0000 0.0000 7.5007 0.0000 0.0000 0.0000 21.3230" Properties=species:S:1:pos:R:3 pbc="T T T"
Cs 0.0000 0.0000 0.0000
Cs 0.0000 0.0000 6.9228
Cs 0.0000 3.7503 3.3482
Cs 0.0000 3.7503 17.6438
Cs 3.7392 0.0000 10.4658
Cs 3.7392 0.0000 17.6677
Cs 3.7392 3.7503 6.8856
Cs 3.7392 3.7503 13.9926
K 0.0000 0.0000 14.0038
K 0.0000 3.7503 10.7921
K 3.7392 0.0000 3.3023
K 3.7392 3.7503 0.0089
Hg 0.0000 3.7503 7.2372
```

Values from the calculation:
- E_tot: -11.886 eV per cell
- Space group: Pmm2
- ΔE_f: -35 kJ/mol of formula units

***

No. 2
Computed, not measured: a relaxed K2ReP crystal at the PBE level of DFT.

The structure in extended XYZ format:
```
4
Lattice="2.7503 0.0000 0.0000 0.0000 2.7503 0.0000 0.0000 0.0000 11.0394" Properties=species:S:1:pos:R:3 pbc="T T T"
K 0.0000 0.0000 2.5625
K 0.0000 0.0000 8.4769
Re 1.3752 1.3752 5.5197
P 1.3752 1.3752 0.0000
```

Values from the calculation:
- E_tot: -16.493 eV per cell
- Space group: P4/mmm
- Polymorph energy (0 for the lowest one): 2.85 eV/f.u.
- ΔE_f: 344 kJ/mol of formula units

***

No. 3
Computed, not measured: a relaxed K14RbNa crystal at the PBE level of DFT.

The structure in extended XYZ format:
```
16
Lattice="10.5982 0.0000 0.0000 0.0000 10.5982 0.0000 0.0000 0.0000 10.0458" Properties=species:S:1:pos:R:3 pbc="T T T"
K 0.0000 0.0000 0.0000
K 0.0000 5.2991 0.0000
K 0.0000 5.2991 5.0229
K 2.5146 2.5146 2.5720
K 2.5146 2.5146 7.4739
K 2.5146 8.0836 2.5720
K 2.5146 8.0836 7.4739
K 5.2991 0.0000 0.0000
K 5.2991 0.0000 5.0229
K 5.2991 5.2991 0.0000
K 8.0836 2.5146 2.5720
K 8.0836 2.5146 7.4739
K 8.0836 8.0836 2.5720
K 8.0836 8.0836 7.4739
Rb 5.2991 5.2991 5.0229
Na 0.0000 0.0000 5.0229
```

Values from the calculation:
- E_tot: -17.503 eV per cell
- Space group: P4/mmm
- ΔE_f: 14 kJ/mol of formula units

***

No. 4
Computed, not measured: a relaxed Dy2YErSc crystal at the PBE level of DFT.

The structure in extended XYZ format:
```
10
Lattice="4.0606 -5.5987 0.0000 4.0606 5.5987 0.0000 0.0000 0.0000 7.0621" Properties=species:S:1:pos:R:3 pbc="T T T"
Dy 1.6065 0.0000 0.0000
Dy 1.6065 0.0000 3.5311
Dy 6.5146 0.0000 0.0000
Dy 6.5146 0.0000 3.5311
Y 4.0606 2.9378 5.2966
Y 4.0606 -2.9378 1.7655
Er 4.0606 3.0898 1.7655
Er 4.0606 -3.0898 5.2966
Sc 4.0606 0.1074 1.7655
Sc 4.0606 -0.1074 5.2966
```

Values from the calculation:
- E_tot: -49.562 eV per cell
- Space group: Cmcm
- ΔE_f: 172 kJ/mol of formula units

***

No. 5
Computed, not measured: a relaxed La2Y3Tm2 crystal at the PBE level of DFT.

The structure in extended XYZ format:
```
7
Lattice="5.4556 0.0000 0.0000 -0.0058 5.6266 0.0000 -2.7149 -2.8064 8.0620" Properties=species:S:1:pos:R:3 pbc="T T T"
La 0.0058 0.0006 1.6866
La 2.7291 2.8196 6.3753
Y -0.0029 2.8133 0.0000
Y 0.0013 2.8145 3.8714
Y 2.7336 0.0057 4.1906
Tm 0.0079 0.0011 6.2524
Tm 2.7269 2.8192 1.8095
```

Values from the calculation:
- E_tot: -36.140 eV per cell
- Space group: P-1
- Polymorph energy (0 for the lowest one): 1.53 eV/f.u.
- ΔE_f: 198 kJ/mol of formula units

***

No. 6
Computed, not measured: a relaxed Nd2Dy2Y3 crystal at the PBE level of DFT.

The structure in extended XYZ format:
```
7
Lattice="8.4108 -1.7569 0.0000 8.4108 1.7569 0.0000 -3.8945 0.0000 7.8928" Properties=species:S:1:pos:R:3 pbc="T T T"
Nd 0.5385 0.0000 1.5859
Nd 12.3885 0.0000 6.3069
Dy 5.7197 0.0000 0.7223
Dy 7.2073 0.0000 7.1706
Y -1.9473 0.0000 3.9464
Y 1.1834 0.0000 5.1207
Y 11.7436 0.0000 2.7721
```

Values from the calculation:
- E_tot: -37.212 eV per cell
- Space group: C2/m
- Polymorph energy (0 for the lowest one): 0.00 eV/f.u.
- ΔE_f: 89 kJ/mol of formula units

***

No. 7
Computed, not measured: a relaxed Sb2RhBr crystal at the PBE level of DFT.

The structure in extended XYZ format:
```
4
Lattice="3.3754 0.0000 0.0000 0.0000 3.3754 0.0000 0.0000 0.0000 8.0095" Properties=species:S:1:pos:R:3 pbc="T T T"
Sb 0.0000 0.0000 1.5943
Sb 0.0000 0.0000 6.4152
Rh 1.6877 1.6877 0.0000
Br 1.6877 1.6877 4.0047
```

Values from the calculation:
- E_tot: -18.013 eV per cell
- Space group: P4/mmm
- Polymorph energy (0 for the lowest one): 0.58 eV/f.u.
- Raw formation energy: -72 kJ/mol of formula units

***

No. 8
Computed, not measured: a relaxed La8PrAl2 crystal at the PBE level of DFT.

The structure in extended XYZ format:
```
11
Lattice="8.8032 -2.6578 0.0000 8.8032 2.6578 0.0000 -3.2183 0.0000 7.8659" Properties=species:S:1:pos:R:3 pbc="T T T"
La 0.1502 0.0000 1.8253
La 0.3785 0.0000 5.7063
La 3.7489 0.0000 4.3397
La 6.6872 0.0000 0.2138
La 7.7008 0.0000 7.6520
La 10.6392 0.0000 3.5261
La 14.0095 0.0000 2.1596
La 14.2379 0.0000 6.0406
Pr 7.1940 0.0000 3.9329
Al 3.4068 0.0000 1.1807
Al 10.9813 0.0000 6.6852
```

Values from the calculation:
- E_tot: -52.725 eV per cell
- Space group: C2/m
- ΔE_f: -100 kJ/mol of formula units

***

| no. | D(E_F) (states/eV per atom) |
| --- | --- |
| 1 | 0.95 |
| 2 | 0.57 |
| 3 | 0.72 |
| 4 | 1.40 |
| 5 | 1.78 |
| 6 | 1.73 |
| 7 | 0.71 |
| 8 | 1.44 |